Entry 1:
# PBE Ce6MgS12, relaxed
data_Ce6MgS12
_symmetry_space_group_name_H-M 'P 1'
_symmetry_Int_Tables_number 1
_cell_length_a 7.939
_cell_length_b 7.939
_cell_length_c 7.939
_cell_angle_alpha 99.90
_cell_angle_beta 99.90
_cell_angle_gamma 99.90
loop_
_symmetry_equiv_pos_as_xyz
'x,y,z'
loop_
_atom_site_label
_atom_site_type_symbol
_atom_site_fract_x
_atom_site_fract_y
_atom_site_fract_z
S1 S 0.581 0.434 0.177
S2 S 0.052 0.937 0.684
S3 S 0.823 0.419 0.566
S4 S 0.419 0.566 0.823
S5 S 0.937 0.684 0.052
S6 S 0.316 0.948 0.063
S7 S 0.566 0.823 0.419
S8 S 0.177 0.581 0.434
S9 S 0.434 0.177 0.581
S10 S 0.684 0.052 0.937
S11 S 0.063 0.316 0.948
S12 S 0.948 0.063 0.316
Ce1 Ce 0.132 0.293 0.617
Ce2 Ce 0.293 0.617 0.132
Ce3 Ce 0.868 0.707 0.383
Ce4 Ce 0.707 0.383 0.868
Ce5 Ce 0.383 0.868 0.707
Ce6 Ce 0.617 0.132 0.293
Mg1 Mg 0.000 0.000 0.000
# Density ... 4.37 Mg/m³
# E ... -6.37 eV/atom
# Uncorrected formation energy ... -1.802 eV/atom
# SG ... No. 148

***

Entry 2:
# PBE CeMgS, relaxed
data_CeMgS
_symmetry_space_group_name_H-M 'P 1'
_symmetry_Int_Tables_number 1
_cell_length_a 4.080
_cell_length_b 4.080
_cell_length_c 11.320
_cell_angle_alpha 79.62
_cell_angle_beta 79.62
_cell_angle_gamma 60.00
loop_
_symmetry_equiv_pos_as_xyz
'x,y,z'
loop_
_atom_site_label
_atom_site_type_symbol
_atom_site_fract_x
_atom_site_fract_y
_atom_site_fract_z
Mg1 Mg 0.366 0.366 0.901
Mg2 Mg 0.634 0.634 0.099
Ce1 Ce 0.853 0.853 0.441
Ce2 Ce 0.147 0.147 0.559
S1 S 0.287 0.287 0.138
S2 S 0.713 0.713 0.862
# Density ... 4.09 Mg/m³
# E ... -4.50 eV/atom
# Uncorrected formation energy ... -0.619 eV/atom
# SG ... No. 166

***

Entry 3:
# PBE Ce3MgS6, relaxed
data_Ce3MgS6
_symmetry_space_group_name_H-M 'P 1'
_symmetry_Int_Tables_number 1
_cell_length_a 6.717
_cell_length_b 8.676
_cell_length_c 8.676
_cell_angle_alpha 102.38
_cell_angle_beta 90.00
_cell_angle_gamma 90.00
loop_
_symmetry_equiv_pos_as_xyz
'x,y,z'
loop_
_atom_site_label
_atom_site_type_symbol
_atom_site_fract_x
_atom_site_fract_y
_atom_site_fract_z
S1 S 0.187 0.687 0.636
S2 S 0.682 0.968 0.032
S3 S 0.153 0.777 0.223
S4 S 0.653 0.223 0.777
S5 S 0.187 0.364 0.313
S6 S 0.705 0.901 0.438
S7 S 0.205 0.099 0.562
S8 S 0.205 0.438 0.901
S9 S 0.687 0.636 0.687
S10 S 0.687 0.313 0.364
S11 S 0.182 0.032 0.968
S12 S 0.705 0.562 0.099
Ce1 Ce 0.478 0.921 0.714
Ce2 Ce 0.478 0.286 0.079
Ce3 Ce 0.398 0.395 0.605
Ce4 Ce 0.978 0.714 0.921
Ce5 Ce 0.898 0.605 0.395
Ce6 Ce 0.978 0.079 0.286
Mg1 Mg 0.012 0.195 0.805
Mg2 Mg 0.512 0.805 0.195
# Density ... 4.28 Mg/m³
# E ... -6.25 eV/atom
# Uncorrected formation energy ... -1.831 eV/atom
# SG ... No. 36

***

Entry 4:
# PBE CeMg2S4, relaxed
data_CeMg2S4
_symmetry_space_group_name_H-M 'P 1'
_symmetry_Int_Tables_number 1
_cell_length_a 7.750
_cell_length_b 7.750
_cell_length_c 11.002
_cell_angle_alpha 90.00
_cell_angle_beta 90.00
_cell_angle_gamma 90.00
loop_
_symmetry_equiv_pos_as_xyz
'x,y,z'
loop_
_atom_site_label
_atom_site_type_symbol
_atom_site_fract_x
_atom_site_fract_y
_atom_site_fract_z
S1 S 0.977 0.747 0.252
S2 S 0.740 0.497 0.486
S3 S 0.747 0.977 0.498
S4 S 0.023 0.747 0.748
S5 S 0.497 0.740 0.264
S6 S 0.503 0.260 0.764
S7 S 0.253 0.977 0.502
S8 S 0.747 0.023 0.002
S9 S 0.253 0.023 0.998
S10 S 0.740 0.503 0.014
S11 S 0.497 0.260 0.236
S12 S 0.260 0.497 0.514
S13 S 0.260 0.503 0.986
S14 S 0.023 0.253 0.752
S15 S 0.503 0.740 0.736
S16 S 0.977 0.253 0.248
Mg1 Mg 0.247 0.247 0.375
Mg2 Mg 0.730 0.500 0.250
Mg3 Mg 0.500 0.730 0.500
Mg4 Mg 0.753 0.247 0.625
Mg5 Mg 0.270 0.500 0.750
Mg6 Mg 0.500 0.270 0.000
Mg7 Mg 0.247 0.753 0.125
Mg8 Mg 0.753 0.753 0.875
Ce1 Ce 0.000 0.277 0.000
Ce2 Ce 0.277 0.000 0.750
Ce3 Ce 0.723 0.000 0.250
Ce4 Ce 0.000 0.723 0.500
# Density ... 3.19 Mg/m³
# E ... -5.17 eV/atom
# Uncorrected formation energy ... -1.510 eV/atom
# SG ... No. 91

***

Entry 5:
# PBE CeMg2Tl3S6, relaxed
data_CeMg2Tl3S6
_symmetry_space_group_name_H-M 'P 1'
_symmetry_Int_Tables_number 1
_cell_length_a 6.834
_cell_length_b 6.834
_cell_length_c 7.530
_cell_angle_alpha 98.76
_cell_angle_beta 98.76
_cell_angle_gamma 120.01
loop_
_symmetry_equiv_pos_as_xyz
'x,y,z'
loop_
_atom_site_label
_atom_site_type_symbol
_atom_site_fract_x
_atom_site_fract_y
_atom_site_fract_z
S1 S 0.591 0.933 0.800
S2 S 0.723 0.723 0.198
S3 S 0.409 0.067 0.200
S4 S 0.933 0.591 0.800
S5 S 0.277 0.277 0.802
S6 S 0.067 0.409 0.200
Mg1 Mg 0.667 0.333 0.000
Mg2 Mg 0.333 0.667 0.000
Tl1 Tl 0.834 0.166 0.500
Tl2 Tl 0.500 0.500 0.500
Tl3 Tl 0.166 0.834 0.500
Ce1 Ce 0.000 0.000 0.000
# Density ... 5.69 Mg/m³
# E ... -4.41 eV/atom
# Uncorrected formation energy ... -0.992 eV/atom
# SG ... No. 12

***

Entry 6:
# PBE Ce2Mg2Sb, relaxed
data_Ce2Mg2Sb
_symmetry_space_group_name_H-M 'P 1'
_symmetry_Int_Tables_number 1
_cell_length_a 4.181
_cell_length_b 4.181
_cell_length_c 9.021
_cell_angle_alpha 103.40
_cell_angle_beta 103.40
_cell_angle_gamma 90.00
loop_
_symmetry_equiv_pos_as_xyz
'x,y,z'
loop_
_atom_site_label
_atom_site_type_symbol
_atom_site_fract_x
_atom_site_fract_y
_atom_site_fract_z
Mg1 Mg 0.750 0.250 0.500
Mg2 Mg 0.250 0.750 0.500
Ce1 Ce 0.420 0.420 0.839
Ce2 Ce 0.580 0.580 0.161
Sb1 Sb 0.000 0.000 0.000
# Density ... 5.02 Mg/m³
# E ... -4.01 eV/atom
# Uncorrected formation energy ... -0.178 eV/atom
# SG ... No. 139